The following is a DFT calculation (GGA-PBE) of a relaxed structure of CuRe2Sb.

Properties
**E_form (uncorrected)**: 0.656 eV/atom
**ρ**: 13.5 Mg/m³
**SG**: No. 35

Cell and atoms, written as CIF:
```
data_CuRe2Sb
_cell_length_a 2.859
_cell_length_b 2.859
_cell_length_c 9.450
_cell_angle_alpha 90.00
_cell_angle_beta 90.00
_cell_angle_gamma 117.58
_space_group_name_H-M_alt 'P 1'
_space_group_IT_number 1
loop_
_space_group_symop_operation_xyz
'x,y,z'
loop_
_atom_site_label
_atom_site_type_symbol
_atom_site_fract_x
_atom_site_fract_y
_atom_site_fract_z
Cu1 Cu 0.500 0.500 0.771
Re1 Re 0.000 0.000 0.002
Re2 Re 0.500 0.500 0.224
Sb1 Sb 0.000 0.000 0.504
```



The following is a DFT calculation (GGA-PBE) of a relaxed structure of CuRe2Sb.

Properties
**E_form (uncorrected)**: 0.371 eV/atom
**ρ**: 14.5 Mg/m³
**SG**: No. 99

Cell and atoms, written as CIF:
```
data_CuRe2Sb
_cell_length_a 3.132
_cell_length_b 3.132
_cell_length_c 6.525
_cell_angle_alpha 90.00
_cell_angle_beta 90.00
_cell_angle_gamma 90.00
_space_group_name_H-M_alt 'P 1'
_space_group_IT_number 1
loop_
_space_group_symop_operation_xyz
'x,y,z'
loop_
_atom_site_label
_atom_site_type_symbol
_atom_site_fract_x
_atom_site_fract_y
_atom_site_fract_z
Cu1 Cu 0.500 0.500 0.770
Re1 Re 0.000 0.000 0.994
Re2 Re 0.500 0.500 0.225
Sb1 Sb 0.000 0.000 0.512
```



The following is a DFT calculation (GGA-PBE) of a relaxed structure of CuRe2Sb.

Properties
**E_form (uncorrected)**: 0.528 eV/atom
**ρ**: 14.5 Mg/m³
**SG**: No. 12

Cell and atoms, written as CIF:
```
data_CuRe2Sb
_cell_length_a 4.657
_cell_length_b 4.657
_cell_length_c 4.933
_cell_angle_alpha 80.04
_cell_angle_beta 80.04
_cell_angle_gamma 37.43
_space_group_name_H-M_alt 'P 1'
_space_group_IT_number 1
loop_
_space_group_symop_operation_xyz
'x,y,z'
loop_
_atom_site_label
_atom_site_type_symbol
_atom_site_fract_x
_atom_site_fract_y
_atom_site_fract_z
Cu1 Cu 0.250 0.250 0.250
Re1 Re 0.994 0.994 0.030
Re2 Re 0.506 0.506 0.470
Sb1 Sb 0.750 0.750 0.750
```



The following is a DFT calculation (GGA-PBE) of a relaxed structure of CuRe2Sb.

Properties
**E_form (uncorrected)**: 0.617 eV/atom
**ρ**: 14.5 Mg/m³
**SG**: No. 216

Cell and atoms, written as CIF:
```
data_CuRe2Sb
_cell_length_a 4.488
_cell_length_b 4.488
_cell_length_c 4.488
_cell_angle_alpha 60.00
_cell_angle_beta 60.00
_cell_angle_gamma 60.00
_space_group_name_H-M_alt 'P 1'
_space_group_IT_number 1
loop_
_space_group_symop_operation_xyz
'x,y,z'
loop_
_atom_site_label
_atom_site_type_symbol
_atom_site_fract_x
_atom_site_fract_y
_atom_site_fract_z
Cu1 Cu 0.500 0.500 0.500
Re1 Re 0.000 0.000 0.000
Re2 Re 0.250 0.250 0.250
Sb1 Sb 0.750 0.750 0.750
```



The following is a DFT calculation (GGA-PBE) of a relaxed structure of CuRe2Sb.

Properties
**E_form (uncorrected)**: 0.634 eV/atom
**ρ**: 13.1 Mg/m³
**SG**: No. 122

Cell and atoms, written as CIF:
```
data_CuRe2Sb
_cell_length_a 3.891
_cell_length_b 3.891
_cell_length_c 9.770
_cell_angle_alpha 78.51
_cell_angle_beta 78.51
_cell_angle_gamma 90.00
_space_group_name_H-M_alt 'P 1'
_space_group_IT_number 1
loop_
_space_group_symop_operation_xyz
'x,y,z'
loop_
_atom_site_label
_atom_site_type_symbol
_atom_site_fract_x
_atom_site_fract_y
_atom_site_fract_z
Re1 Re 0.562 0.125 0.250
Re2 Re 0.188 0.625 0.250
Re3 Re 0.375 0.438 0.750
Re4 Re 0.875 0.812 0.750
Cu1 Cu 0.500 0.500 0.000
Cu2 Cu 0.250 0.750 0.500
Sb1 Sb 0.000 0.000 0.000
Sb2 Sb 0.750 0.250 0.500
```



The following is a DFT calculation (GGA-PBE) of a relaxed structure of CuRe2Sb.

Properties
**E_form (uncorrected)**: 0.663 eV/atom
**ρ**: 14.9 Mg/m³
**SG**: No. 123

Cell and atoms, written as CIF:
```
data_CuRe2Sb
_cell_length_a 4.395
_cell_length_b 4.395
_cell_length_c 3.211
_cell_angle_alpha 90.00
_cell_angle_beta 90.00
_cell_angle_gamma 90.04
_space_group_name_H-M_alt 'P 1'
_space_group_IT_number 1
loop_
_space_group_symop_operation_xyz
'x,y,z'
loop_
_atom_site_label
_atom_site_type_symbol
_atom_site_fract_x
_atom_site_fract_y
_atom_site_fract_z
Cu1 Cu 0.000 0.500 0.500
Re1 Re 0.000 0.000 0.000
Re2 Re 0.500 0.500 0.000
Sb1 Sb 0.500 0.000 0.500
```



The following is a DFT calculation (GGA-PBE) of a relaxed structure of CuReSb.

Properties
**E_form (uncorrected)**: 0.498 eV/atom
**Energy above the lowest structure with this stoichiometry**: 0 meV/atom
**ρ**: 12.7 Mg/m³
**SG**: No. 107

Cell and atoms, written as CIF:
```
data_CuReSb
_cell_length_a 4.948
_cell_length_b 4.948
_cell_length_c 3.338
_cell_angle_alpha 70.28
_cell_angle_beta 70.29
_cell_angle_gamma 39.43
_space_group_name_H-M_alt 'P 1'
_space_group_IT_number 1
loop_
_space_group_symop_operation_xyz
'x,y,z'
loop_
_atom_site_label
_atom_site_type_symbol
_atom_site_fract_x
_atom_site_fract_y
_atom_site_fract_z
Cu1 Cu 0.003 0.003 0.997
Re1 Re 0.663 0.663 0.337
Sb1 Sb 0.333 0.333 0.667
```



The following is a DFT calculation (GGA-PBE) of a relaxed structure of CuRe2Sb.

Properties
**E_form (uncorrected)**: 0.679 eV/atom
**ρ**: 14.4 Mg/m³
**SG**: No. 47

Cell and atoms, written as CIF:
```
data_CuRe2Sb
_cell_length_a 3.084
_cell_length_b 4.546
_cell_length_c 4.575
_cell_angle_alpha 90.00
_cell_angle_beta 90.00
_cell_angle_gamma 90.00
_space_group_name_H-M_alt 'P 1'
_space_group_IT_number 1
loop_
_space_group_symop_operation_xyz
'x,y,z'
loop_
_atom_site_label
_atom_site_type_symbol
_atom_site_fract_x
_atom_site_fract_y
_atom_site_fract_z
Cu1 Cu 0.000 0.500 0.500
Re1 Re 0.000 0.000 0.000
Re2 Re 0.500 0.500 0.000
Sb1 Sb 0.500 0.000 0.500
```



The following is a DFT calculation (GGA-PBE) of a relaxed structure of CuRe2Sb.

Properties
**E_form (uncorrected)**: 0.542 eV/atom
**ρ**: 14.4 Mg/m³
**SG**: No. 8

Cell and atoms, written as CIF:
```
data_CuRe2Sb
_cell_length_a 4.715
_cell_length_b 4.715
_cell_length_c 4.838
_cell_angle_alpha 81.31
_cell_angle_beta 81.31
_cell_angle_gamma 37.24
_space_group_name_H-M_alt 'P 1'
_space_group_IT_number 1
loop_
_space_group_symop_operation_xyz
'x,y,z'
loop_
_atom_site_label
_atom_site_type_symbol
_atom_site_fract_x
_atom_site_fract_y
_atom_site_fract_z
Cu1 Cu 0.257 0.257 0.240
Re1 Re 0.004 0.004 0.992
Re2 Re 0.743 0.743 0.781
Sb1 Sb 0.497 0.497 0.487
```



The following is a DFT calculation (GGA-PBE) of a relaxed structure of CuReSb4.

Properties
**E_form (uncorrected)**: 1.352 eV/atom
**ρ**: 7.8 Mg/m³
**SG**: No. 216

Cell and atoms, written as CIF:
```
data_CuReSb4
_cell_length_a 6.053
_cell_length_b 6.053
_cell_length_c 6.053
_cell_angle_alpha 60.00
_cell_angle_beta 60.00
_cell_angle_gamma 60.00
_space_group_name_H-M_alt 'P 1'
_space_group_IT_number 1
loop_
_space_group_symop_operation_xyz
'x,y,z'
loop_
_atom_site_label
_atom_site_type_symbol
_atom_site_fract_x
_atom_site_fract_y
_atom_site_fract_z
Cu1 Cu 0.750 0.750 0.750
Re1 Re 0.000 0.000 0.000
Sb1 Sb 0.873 0.376 0.376
Sb2 Sb 0.376 0.376 0.873
Sb3 Sb 0.376 0.873 0.376
Sb4 Sb 0.376 0.376 0.376
```



The following is a DFT calculation (GGA-PBE) of a relaxed structure of CuRe2Sb.

Properties
**E_form (uncorrected)**: 0.732 eV/atom
**ρ**: 14.4 Mg/m³
**SG**: No. 166

Cell and atoms, written as CIF:
```
data_CuRe2Sb
_cell_length_a 8.529
_cell_length_b 8.529
_cell_length_c 8.529
_cell_angle_alpha 20.12
_cell_angle_beta 20.12
_cell_angle_gamma 20.12
_space_group_name_H-M_alt 'P 1'
_space_group_IT_number 1
loop_
_space_group_symop_operation_xyz
'x,y,z'
loop_
_atom_site_label
_atom_site_type_symbol
_atom_site_fract_x
_atom_site_fract_y
_atom_site_fract_z
Cu1 Cu 0.750 0.750 0.750
Re1 Re 0.002 0.002 0.002
Re2 Re 0.498 0.498 0.498
Sb1 Sb 0.250 0.250 0.250
```



The following is a DFT calculation (GGA-PBE) of a relaxed structure of CuRe2Sb.

Properties
**E_form (uncorrected)**: 0.707 eV/atom
**ρ**: 14.7 Mg/m³
**SG**: No. 139

Cell and atoms, written as CIF:
```
data_CuRe2Sb
_cell_length_a 4.962
_cell_length_b 4.962
_cell_length_c 4.962
_cell_angle_alpha 133.55
_cell_angle_beta 133.55
_cell_angle_gamma 67.79
_space_group_name_H-M_alt 'P 1'
_space_group_IT_number 1
loop_
_space_group_symop_operation_xyz
'x,y,z'
loop_
_atom_site_label
_atom_site_type_symbol
_atom_site_fract_x
_atom_site_fract_y
_atom_site_fract_z
Cu1 Cu 0.750 0.250 0.500
Re1 Re 0.000 0.000 0.000
Re2 Re 0.500 0.500 0.000
Sb1 Sb 0.250 0.750 0.500
```



What did the ninth record say?
The following is a DFT calculation (GGA-PBE) of a relaxed structure of CuRe2Sb.

Properties
**E_form (uncorrected)**: 0.542 eV/atom
**ρ**: 14.4 Mg/m³
**SG**: No. 8

Cell and atoms, written as CIF:
```
data_CuRe2Sb
_cell_length_a 4.715
_cell_length_b 4.715
_cell_length_c 4.838
_cell_angle_alpha 81.31
_cell_angle_beta 81.31
_cell_angle_gamma 37.24
_space_group_name_H-M_alt 'P 1'
_space_group_IT_number 1
loop_
_space_group_symop_operation_xyz
'x,y,z'
loop_
_atom_site_label
_atom_site_type_symbol
_atom_site_fract_x
_atom_site_fract_y
_atom_site_fract_z
Cu1 Cu 0.257 0.257 0.240
Re1 Re 0.004 0.004 0.992
Re2 Re 0.743 0.743 0.781
Sb1 Sb 0.497 0.497 0.487
```



- What is the formula in the second record?
  CuRe2Sb